This record from the Alexandria database describes CaAl8 at its PBEsol-relaxed geometry. The functional is SCAN.

Results
Its formation energy is 0.00 eV/atom. As for the crystal system: tetragonal.

```
CaAl8
1.0
-4.432 4.432 2.058
4.432 -4.432 2.058
4.432 4.432 -2.058
Ca Al
1 8
Direct
0.000 0.000 0.000
0.000 0.344 0.344
0.000 0.656 0.656
0.322 0.322 0.644
0.322 0.678 0.000
0.344 0.000 0.344
0.656 0.000 0.656
0.678 0.322 0.000
0.678 0.678 0.356
```

This record from the Alexandria database describes CaAl5 at its PBEsol-relaxed geometry. The functional is SCAN.

Results
Its formation energy is -0.06 eV/atom. As for the crystal system: orthorhombic.

```
CaAl5
1.0
4.229 0.000 0.000
0.000 12.429 0.000
0.000 0.000 4.220
Ca Al
2 10
Direct
0.000 0.000 0.000
0.500 0.500 0.000
0.000 0.173 0.500
0.000 0.323 0.000
0.000 0.500 0.500
0.000 0.677 0.000
0.000 0.827 0.500
0.500 0.000 0.500
0.500 0.177 0.000
0.500 0.327 0.500
0.500 0.673 0.500
0.500 0.823 0.000
```

This record from the Alexandria database describes Ca2AlCl at its PBEsol-relaxed geometry. The functional is SCAN.

Results
Its energy above the lowest structure with this stoichiometry is 0.158 eV per atom. For the uncorrected formation energy, the calculation gives -0.881 eV/atom. As for the crystal system: orthorhombic.

```
Ca2AlCl
1.0
4.110 0.000 0.000
0.000 4.346 0.000
0.000 0.000 6.132
Ca Al Cl
2 1 1
Direct
0.000 0.000 0.000
0.500 0.500 0.500
0.000 0.000 0.500
0.500 0.500 0.000
```

This record from the Alexandria database describes CaAlCl2 at its PBEsol-relaxed geometry. The functional is SCAN.

Results
Its energy above the lowest structure with this stoichiometry is 0.165 eV per atom. For the uncorrected formation energy, the calculation gives -0.990 eV/atom. As for the crystal system: tetragonal.

```
CaAlCl2
1.0
4.752 0.000 0.000
0.000 4.752 0.000
0.000 0.000 7.914
Ca Al Cl
2 2 4
Direct
0.000 0.000 0.000
0.500 0.500 0.500
0.000 0.000 0.500
0.500 0.500 0.000
0.000 0.500 0.250
0.000 0.500 0.750
0.500 0.000 0.250
0.500 0.000 0.750
```

This record from the Alexandria database describes CaAlCl2 at its PBEsol-relaxed geometry. The functional is SCAN.

Results
Its energy above the lowest structure with this stoichiometry is 0.514 eV per atom. For the uncorrected formation energy, the calculation gives -0.641 eV/atom. As for the crystal system: cubic.

```
CaAlCl2
1.0
7.204 0.000 0.000
0.000 7.204 0.000
0.000 0.000 7.204
Ca Al Cl
4 4 8
Direct
0.000 0.000 0.000
0.000 0.500 0.500
0.500 0.000 0.500
0.500 0.500 0.000
0.250 0.250 0.250
0.250 0.750 0.750
0.750 0.250 0.750
0.750 0.750 0.250
0.000 0.000 0.500
0.000 0.500 0.000
0.250 0.250 0.750
0.250 0.750 0.250
0.500 0.000 0.000
0.500 0.500 0.500
0.750 0.250 0.250
0.750 0.750 0.750
```

This record from the Alexandria database describes CaAl2Cl at its PBEsol-relaxed geometry. The functional is SCAN.

Results
Its energy above the lowest structure with this stoichiometry is 0.000 eV per atom. For the uncorrected formation energy, the calculation gives -0.628 eV/atom. As for the crystal system: monoclinic.

```
CaAl2Cl
1.0
12.545 0.000 0.000
0.000 3.353 0.000
-0.229 0.000 4.283
Ca Al Cl
2 4 2
Direct
0.000 0.000 0.000
0.500 0.500 0.000
0.237 0.500 0.239
0.263 0.000 0.761
0.737 0.000 0.239
0.763 0.500 0.761
0.000 0.500 0.500
0.500 0.000 0.500
```

This record from the Alexandria database describes CaAlCl2 at its PBEsol-relaxed geometry. The functional is SCAN.

Results
Its energy above the lowest structure with this stoichiometry is 0.000 eV per atom. For the uncorrected formation energy, the calculation gives -1.155 eV/atom. As for the crystal system: tetragonal.

```
CaAlCl2
1.0
3.400 0.000 0.000
0.000 3.400 0.000
0.000 0.000 7.913
Ca Al Cl
1 1 2
Direct
0.000 0.000 0.000
0.500 0.500 0.714
0.000 0.000 0.521
0.500 0.500 0.168
```

This record from the Alexandria database describes CaAl2Cl at its PBEsol-relaxed geometry. The functional is SCAN.

Results
Its energy above the lowest structure with this stoichiometry is 0.392 eV per atom. For the uncorrected formation energy, the calculation gives -0.236 eV/atom. As for the crystal system: orthorhombic.

```
CaAl2Cl
1.0
5.423 0.000 0.000
0.000 10.178 0.000
0.000 0.000 3.328
Ca Al Cl
2 4 2
Direct
0.000 0.000 0.000
0.500 0.500 0.000
0.250 0.250 0.500
0.250 0.750 0.500
0.750 0.250 0.500
0.750 0.750 0.500
0.000 0.500 0.000
0.500 0.000 0.000
```

This record from the Alexandria database describes Ca2AlCl at its PBEsol-relaxed geometry. The functional is SCAN.

Results
Its energy above the lowest structure with this stoichiometry is 0.000 eV per atom. For the uncorrected formation energy, the calculation gives -1.039 eV/atom. As for the crystal system: monoclinic.

```
Ca2AlCl
1.0
3.766 0.000 0.000
0.000 3.527 0.000
-0.013 0.000 8.166
Ca Al Cl
2 1 1
Direct
0.001 0.000 0.231
0.999 0.000 0.769
0.500 0.500 0.000
0.000 0.500 0.500
```

This record from the Alexandria database describes CaAl2Cl at its PBEsol-relaxed geometry. The functional is SCAN.

Results
Its energy above the lowest structure with this stoichiometry is 0.612 eV per atom. For the uncorrected formation energy, the calculation gives -0.016 eV/atom. As for the crystal system: orthorhombic.

```
CaAl2Cl
1.0
3.698 0.000 0.000
0.000 5.253 0.000
0.000 0.000 9.051
Ca Al Cl
2 4 2
Direct
0.000 0.000 0.000
0.500 0.500 0.000
0.000 0.500 0.270
0.000 0.500 0.730
0.500 0.000 0.270
0.500 0.000 0.730
0.000 0.000 0.500
0.500 0.500 0.500
```

This record from the Alexandria database describes CaAl2Cl at its PBEsol-relaxed geometry. The functional is SCAN.

Results
Its energy above the lowest structure with this stoichiometry is 0.035 eV per atom. For the uncorrected formation energy, the calculation gives -0.593 eV/atom. As for the crystal system: tetragonal.

```
CaAl2Cl
1.0
3.840 0.000 0.000
0.000 3.840 0.000
0.000 0.000 25.756
Ca Al Cl
4 8 4
Direct
0.000 0.000 0.000
0.000 0.500 0.250
0.500 0.000 0.750
0.500 0.500 0.500
0.240 0.250 0.125
0.250 0.740 0.375
0.250 0.760 0.875
0.260 0.250 0.625
0.740 0.750 0.625
0.750 0.240 0.875
0.750 0.260 0.375
0.760 0.750 0.125
0.000 0.000 0.500
0.000 0.500 0.750
0.500 0.000 0.250
0.500 0.500 0.000
```

This record from the Alexandria database describes CaAl2Cl at its PBEsol-relaxed geometry. The functional is SCAN.

Results
Its energy above the lowest structure with this stoichiometry is 0.001 eV per atom. For the uncorrected formation energy, the calculation gives -0.627 eV/atom. As for the crystal system: orthorhombic.

```
CaAl2Cl
1.0
4.296 0.000 0.000
0.000 6.263 0.000
0.000 0.000 3.335
Ca Al Cl
1 2 1
Direct
0.000 0.000 0.000
0.000 0.500 0.496
0.500 0.500 0.997
0.500 0.000 0.500
```

This record from the Alexandria database describes Ca2AlH10ClO8 at its PBEsol-relaxed geometry. The functional is SCAN.

Results
The calculation puts the raw total energy at -0.530 Ry per atom. As for the crystal system: monoclinic.

```
Ca2AlH10ClO8
1.0
4.873 -2.862 0.000
4.873 2.862 0.000
-3.635 0.000 15.463
Ca Al H Cl O
4 2 20 2 16
Direct
0.214 0.786 0.500
0.480 0.913 0.077
0.786 0.214 0.000
0.913 0.480 0.577
0.134 0.564 0.039
0.564 0.134 0.539
0.042 0.393 0.161
0.071 0.606 0.314
0.074 0.887 0.313
0.084 0.614 0.765
0.171 0.292 0.416
0.245 0.723 0.919
0.292 0.171 0.916
0.393 0.042 0.661
0.470 0.526 0.661
0.526 0.470 0.161
0.606 0.071 0.814
0.614 0.084 0.265
0.619 0.798 0.263
0.652 0.738 0.416
0.723 0.245 0.419
0.738 0.652 0.916
0.798 0.619 0.763
0.887 0.074 0.813
0.964 0.980 0.659
0.980 0.964 0.159
0.347 0.846 0.789
0.846 0.347 0.289
0.099 0.333 0.103
0.161 0.719 0.341
0.169 0.793 0.974
0.231 0.358 0.473
0.333 0.099 0.603
0.358 0.231 0.973
0.469 0.528 0.103
0.527 0.969 0.236
0.528 0.469 0.603
0.600 0.796 0.475
0.719 0.161 0.841
0.793 0.169 0.474
0.796 0.600 0.975
0.897 0.908 0.604
0.908 0.897 0.104
0.969 0.527 0.736
```

This record from the Alexandria database describes Ca2AlH10ClO8 at its PBEsol-relaxed geometry. The functional is SCAN.

Results
The calculation puts the raw total energy at -0.530 Ry per atom. As for the crystal system: monoclinic.

```
Ca2AlH10ClO8
1.0
4.993 -2.795 0.000
4.993 2.795 0.000
-2.523 0.000 15.430
Ca Al H Cl O
4 2 20 2 16
Direct
0.156 0.660 0.961
0.340 0.844 0.539
0.660 0.156 0.461
0.844 0.340 0.039
0.000 0.500 0.500
0.500 0.000 0.000
0.005 0.785 0.774
0.110 0.129 0.880
0.129 0.110 0.380
0.173 0.608 0.377
0.215 0.995 0.726
0.293 0.502 0.776
0.312 0.384 0.123
0.384 0.312 0.623
0.392 0.827 0.123
0.498 0.707 0.724
0.502 0.293 0.276
0.608 0.173 0.877
0.616 0.688 0.377
0.688 0.616 0.877
0.707 0.498 0.224
0.785 0.005 0.274
0.827 0.392 0.623
0.871 0.890 0.620
0.890 0.871 0.120
0.995 0.215 0.226
0.252 0.748 0.250
0.748 0.252 0.750
0.042 0.174 0.434
0.115 0.610 0.802
0.174 0.042 0.934
0.232 0.544 0.435
0.259 0.333 0.064
0.333 0.259 0.564
0.390 0.885 0.698
0.456 0.768 0.065
0.544 0.232 0.935
0.610 0.115 0.302
0.667 0.741 0.436
0.741 0.667 0.936
0.768 0.456 0.565
0.826 0.958 0.066
0.885 0.390 0.198
0.958 0.826 0.566
```

This record from the Alexandria database describes CaAl8Co2 at its PBEsol-relaxed geometry. The functional is SCAN.

Results
Its formation energy is -0.42 eV/atom. As for the crystal system: orthorhombic.

```
CaAl8Co2
1.0
12.367 0.000 0.000
0.000 14.354 0.000
0.000 0.000 3.921
Ca Al Co
4 32 8
Direct
0.159 0.181 0.000
0.341 0.681 0.000
0.659 0.319 0.000
0.841 0.819 0.000
0.000 0.000 0.000
0.000 0.500 0.500
0.025 0.867 0.500
0.048 0.320 0.500
0.096 0.746 0.000
0.161 0.455 0.000
0.161 0.619 0.500
0.168 0.008 0.500
0.236 0.827 0.500
0.264 0.327 0.500
0.332 0.508 0.500
0.339 0.119 0.500
0.339 0.955 0.000
0.404 0.246 0.000
0.452 0.820 0.500
0.475 0.367 0.500
0.500 0.000 0.500
0.500 0.500 0.000
0.525 0.633 0.500
0.548 0.180 0.500
0.596 0.754 0.000
0.661 0.045 0.000
0.661 0.881 0.500
0.668 0.492 0.500
0.736 0.673 0.500
0.764 0.173 0.500
0.832 0.992 0.500
0.839 0.381 0.500
0.839 0.545 0.000
0.904 0.254 0.000
0.952 0.680 0.500
0.975 0.133 0.500
0.034 0.593 0.000
0.150 0.902 0.000
0.350 0.402 0.000
0.466 0.093 0.000
0.534 0.907 0.000
0.650 0.598 0.000
0.850 0.098 0.000
0.966 0.407 0.000
```